1.
Below is a relaxed structure of Cs2WAuSe4, with properties calculated at the PBE level.

a = 14.7408 Å, b = 12.9721 Å, c = 8.1563 Å
α = 85.25°, β = 61.28°, γ = 33.46°
Last column: nearest neighbours and their distance in Å.
Sites, in units of the cell vectors:
Cs1 0.0546 0.0546 0.6954  8 Se 3.65-3.99
Cs2 0.3046 0.3046 0.9454  8 Se 3.65-3.99
Cs3 0.6954 0.6954 0.0546  8 Se 3.65-3.99
Cs4 0.9454 0.9454 0.3046  8 Se 3.65-3.99
W1 0.3750 0.3750 0.3750  4 Se 2.42
W2 0.6250 0.6250 0.6250  4 Se 2.42
Au1 0.1250 0.1250 0.1250  4 Se 2.64
Au2 0.8750 0.8750 0.8750  4 Se 2.64
Se1 0.0046 0.6313 0.5544  1 W 2.42, 1 Au 2.64
Se2 0.3097 0.5544 0.6313  1 W 2.42, 1 Au 2.64
Se3 0.3687 0.9954 0.6903  1 W 2.42, 1 Au 2.64
Se4 0.4456 0.6903 0.9954  1 W 2.42, 1 Au 2.64
Se5 0.5544 0.3097 0.0046  1 W 2.42, 1 Au 2.64
Se6 0.6313 0.0046 0.3097  1 W 2.42, 1 Au 2.64
Se7 0.6903 0.4456 0.3687  1 W 2.42, 1 Au 2.64
Se8 0.9954 0.3687 0.4456  1 W 2.42, 1 Au 2.64

Values from the calculation:
- formation energy (no corrections) (meV/atom) = -652
- magnetic moment (μB per cell) = 2.06

=====

2.
Below is a relaxed structure of CsY2AuSe4, with properties calculated at the PBE level.

a = 7.7171 Å, b = 7.7171 Å, c = 14.8123 Å
α = 90.00°, β = 90.00°, γ = 148.18°
Last column: nearest neighbours and their distance in Å.
Sites, in units of the cell vectors:
Cs1 0.1219 0.8781 0.7500  6 Se 3.40-3.60
Cs2 0.8781 0.1219 0.2500  6 Se 3.40-3.60
Y1 0.3717 0.6283 0.5687  6 Se 2.85-3.03
Y2 0.3717 0.6283 0.9313  6 Se 2.85-3.03
Y3 0.6283 0.3717 0.0687  6 Se 2.85-3.03
Y4 0.6283 0.3717 0.4313  6 Se 2.85-3.03
Au1 0.1607 0.8393 0.2500  4 Se 2.61-2.64
Au2 0.8393 0.1607 0.7500  4 Se 2.61-2.64
Se1 0.0000 0.0000 0.0000  4 Y 3.02
Se2 0.0000 0.0000 0.5000  4 Y 3.02
Se3 0.2539 0.7461 0.0980  1 Au 2.64, 2 Y 2.85
Se4 0.2539 0.7461 0.4020  1 Au 2.64, 2 Y 2.85
Se5 0.4422 0.5578 0.7500  2 Au 2.61, 2 Y 2.88
Se6 0.5578 0.4422 0.2500  2 Au 2.61, 2 Y 2.88
Se7 0.7461 0.2539 0.5980  1 Au 2.64, 2 Y 2.85
Se8 0.7461 0.2539 0.9020  1 Au 2.64, 2 Y 2.85

Values from the calculation:
- formation energy (no corrections) (meV/atom) = -1422
- magnetic moment (μB per cell) = 0.00

=====

3.
Below is a relaxed structure of CsYAuSe2, with properties calculated at the PBE level.

a = 8.3834 Å, b = 5.0339 Å, c = 8.0613 Å
α = 90.00°, β = 97.90°, γ = 90.00°
Last column: nearest neighbours and their distance in Å.
Sites, in units of the cell vectors:
Cs1 0.0000 0.1281 0.2500  6 Se 3.64-3.70
Cs2 0.0000 0.8719 0.7500  6 Se 3.64-3.70
Y1 0.5000 0.4953 0.7500  4 Se 2.84
Y2 0.5000 0.5047 0.2500  4 Se 2.84
Au1 0.5000 0.0000 0.0000  2 Se 2.64
Au2 0.5000 0.0000 0.5000  2 Se 2.64
Se1 0.2733 0.3669 0.9688  1 Au 2.64, 2 Y 2.84
Se2 0.2733 0.6331 0.4688  1 Au 2.64, 2 Y 2.84
Se3 0.7267 0.3669 0.5312  1 Au 2.64, 2 Y 2.84
Se4 0.7267 0.6331 0.0312  1 Au 2.64, 2 Y 2.84

Values from the calculation:
- formation energy (no corrections) (meV/atom) = -1110
- magnetic moment (μB per cell) = 0.00

=====

4.
Below is a relaxed structure of CsSiAu3, with properties calculated at the PBE level.

a = 6.3456 Å, b = 7.1348 Å, c = 7.1637 Å
α = 90.00°, β = 107.93°, γ = 90.00°
Last column: nearest neighbours and their distance in Å.
Sites, in units of the cell vectors:
Cs1 0.2284 0.2500 0.1362  10 Au 3.78-4.15, 2 Si 4.13-4.15
Cs2 0.7716 0.7500 0.8638  10 Au 3.78-4.15, 2 Si 4.13-4.15
Si1 0.1334 0.7500 0.4738  5 Au 2.35-2.56
Si2 0.8666 0.2500 0.5262  5 Au 2.35-2.56
Au1 0.2206 0.0518 0.6371  2 Si 2.43-2.56
Au2 0.2206 0.4482 0.6371  2 Si 2.43-2.56
Au3 0.3848 0.7500 0.2913  1 Si 2.35
Au4 0.6152 0.2500 0.7087  1 Si 2.35
Au5 0.7794 0.5518 0.3629  2 Si 2.43-2.56
Au6 0.7794 0.9482 0.3629  2 Si 2.43-2.56

Values from the calculation:
- formation energy (no corrections) (meV/atom) = -160
- magnetic moment (μB per cell) = 0.00

=====

5.
Below is a relaxed structure of CsSiAu3, with properties calculated at the PBE level.

a = 8.7591 Å, b = 8.7591 Å, c = 7.9878 Å
α = 92.58°, β = 92.58°, γ = 88.75°
Last column: nearest neighbours and their distance in Å.
Sites, in units of the cell vectors:
Cs1 0.0742 0.2710 0.0964  7 Au 3.64-4.03, 1 Si 3.91
Cs2 0.2710 0.0742 0.5964  7 Au 3.64-4.03, 1 Si 3.91
Cs3 0.7290 0.9258 0.4036  7 Au 3.64-4.03, 1 Si 3.91
Cs4 0.9258 0.7290 0.9036  7 Au 3.64-4.03, 1 Si 3.91
Si1 0.2553 0.7447 0.2500  4 Au 2.42-2.45
Si2 0.4895 0.5105 0.7500  6 Au 2.46-2.59
Si3 0.5105 0.4895 0.2500  6 Au 2.46-2.59
Si4 0.7447 0.2553 0.7500  4 Au 2.42-2.45
Au1 0.0728 0.6133 0.4068  1 Si 2.42
Au2 0.2126 0.4803 0.6965  1 Si 2.46, 1 Au 2.73
Au3 0.3386 0.5762 0.0163  3 Si 2.45-2.59
Au4 0.3867 0.9272 0.0932  1 Si 2.42
Au5 0.4238 0.6614 0.4837  3 Si 2.45-2.59
Au6 0.4803 0.2126 0.1965  1 Si 2.46, 1 Au 2.73
Au7 0.5197 0.7874 0.8035  1 Si 2.46, 1 Au 2.73
Au8 0.5762 0.3386 0.5163  3 Si 2.45-2.59
Au9 0.6133 0.0728 0.9068  1 Si 2.42
Au10 0.6614 0.4238 0.9837  3 Si 2.45-2.59
Au11 0.7874 0.5197 0.3035  1 Si 2.46, 1 Au 2.73
Au12 0.9272 0.3867 0.5932  1 Si 2.42

Values from the calculation:
- formation energy (no corrections) (meV/atom) = -185
- magnetic moment (μB per cell) = 0.00

=====

6.
Below is a relaxed structure of CsSiAu3, with properties calculated at the PBE level.

a = 9.6540 Å, b = 9.6540 Å, c = 9.6540 Å
α = 60.00°, β = 60.00°, γ = 60.00°
Last column: nearest neighbours and their distance in Å.
Sites, in units of the cell vectors:
Cs1 0.0000 0.0000 0.0000  6 Au 3.74
Cs2 0.0000 0.0000 0.5000  6 Au 3.74
Cs3 0.0000 0.5000 0.0000  6 Au 3.74
Cs4 0.5000 0.0000 0.0000  6 Au 3.74
Si1 0.0000 0.5000 0.5000  6 Au 2.48
Si2 0.5000 0.0000 0.5000  6 Au 2.48
Si3 0.5000 0.5000 0.0000  6 Au 2.48
Si4 0.5000 0.5000 0.5000  6 Au 2.48
Au1 0.2096 0.2096 0.5404  2 Si 2.48
Au2 0.2096 0.5404 0.2096  2 Si 2.48
Au3 0.2096 0.5404 0.5404  2 Si 2.48
Au4 0.4596 0.4596 0.7904  2 Si 2.48
Au5 0.4596 0.7904 0.4596  2 Si 2.48
Au6 0.4596 0.7904 0.7904  2 Si 2.48
Au7 0.5404 0.2096 0.2096  2 Si 2.48
Au8 0.5404 0.2096 0.5404  2 Si 2.48
Au9 0.5404 0.5404 0.2096  2 Si 2.48
Au10 0.7904 0.4596 0.4596  2 Si 2.48
Au11 0.7904 0.4596 0.7904  2 Si 2.48
Au12 0.7904 0.7904 0.4596  2 Si 2.48

Values from the calculation:
- formation energy (no corrections) (meV/atom) = -65
- magnetic moment (μB per cell) = 0.00

=====

7.
Below is a relaxed structure of CsSiAu3, with properties calculated at the PBE level.

a = 7.7879 Å, b = 7.8647 Å, c = 9.4385 Å
α = 90.00°, β = 103.01°, γ = 90.00°
Last column: nearest neighbours and their distance in Å.
Sites, in units of the cell vectors:
Cs1 0.2426 0.1809 0.0192  7 Au 3.36-3.76
Cs2 0.2426 0.3191 0.5192  7 Au 3.36-3.76
Cs3 0.7574 0.6809 0.4808  7 Au 3.36-3.76
Cs4 0.7574 0.8191 0.9808  7 Au 3.36-3.76
Si1 0.1864 0.6898 0.8384  5 Au 2.41-2.58
Si2 0.1864 0.8102 0.3384  5 Au 2.41-2.58
Si3 0.8136 0.1898 0.6616  5 Au 2.41-2.58
Si4 0.8136 0.3102 0.1616  5 Au 2.41-2.58
Au1 0.0297 0.5392 0.2196  2 Si 2.44-2.58
Au2 0.0297 0.9608 0.7196  2 Si 2.44-2.58
Au3 0.2829 0.7270 0.1042  2 Si 2.47-2.57
Au4 0.2829 0.7730 0.6042  2 Si 2.47-2.57
Au5 0.4495 0.5263 0.8448  1 Si 2.41
Au6 0.4495 0.9737 0.3448  1 Si 2.41
Au7 0.5505 0.0263 0.6552  1 Si 2.41
Au8 0.5505 0.4737 0.1552  1 Si 2.41
Au9 0.7171 0.2270 0.3958  2 Si 2.47-2.57
Au10 0.7171 0.2730 0.8958  2 Si 2.47-2.57
Au11 0.9703 0.0392 0.2804  2 Si 2.44-2.58
Au12 0.9703 0.4608 0.7804  2 Si 2.44-2.58

Values from the calculation:
- formation energy (no corrections) (meV/atom) = -187
- magnetic moment (μB per cell) = 0.00

=====

8.
Below is a relaxed structure of CsSiAu2, with properties calculated at the PBE level.

a = 4.4726 Å, b = 4.4726 Å, c = 20.0369 Å
α = 90.00°, β = 90.00°, γ = 120.00°
Last column: nearest neighbours and their distance in Å.
Sites, in units of the cell vectors:
Cs1 0.0000 0.0000 0.0000  8 Au 3.83-3.85, 6 Si 4.22
Cs2 0.3333 0.6667 0.6667  8 Au 3.83-3.85, 6 Si 4.22
Cs3 0.6667 0.3333 0.3333  8 Au 3.83-3.85, 6 Si 4.22
Si1 0.0000 0.0000 0.5000  6 Au 2.63
Si2 0.3333 0.6667 0.1667  6 Au 2.63
Si3 0.6667 0.3333 0.8333  6 Au 2.63
Au1 0.0000 0.0000 0.1920  3 Si 2.63, 3 Au 2.77
Au2 0.0000 0.0000 0.8080  3 Si 2.63, 3 Au 2.77
Au3 0.3333 0.6667 0.4747  3 Si 2.63, 3 Au 2.77
Au4 0.3333 0.6667 0.8586  3 Si 2.63, 3 Au 2.77
Au5 0.6667 0.3333 0.1414  3 Si 2.63, 3 Au 2.77
Au6 0.6667 0.3333 0.5253  3 Si 2.63, 3 Au 2.77

Values from the calculation:
- formation energy (no corrections) (meV/atom) = -127
- magnetic moment (μB per cell) = 0.00

=====

9.
Below is a relaxed structure of CsSiAu3, with properties calculated at the PBE level.

a = 6.8772 Å, b = 9.9724 Å, c = 7.3242 Å
α = 90.00°, β = 90.00°, γ = 90.00°
Last column: nearest neighbours and their distance in Å.
Sites, in units of the cell vectors:
Cs1 0.9996 0.2500 0.0871  12 Au 3.60-3.72, 2 Si 3.92
Cs2 0.0004 0.7500 0.9129  12 Au 3.60-3.72, 2 Si 3.92
Cs3 0.4996 0.2500 0.4129  12 Au 3.60-3.72, 2 Si 3.92
Cs4 0.5004 0.7500 0.5871  12 Au 3.60-3.72, 2 Si 3.92
Si1 0.0000 0.0000 0.5000  6 Au 2.55-2.56
Si2 0.0000 0.5000 0.5000  6 Au 2.55-2.56
Si3 0.5000 0.0000 0.0000  6 Au 2.55-2.56
Si4 0.5000 0.5000 0.0000  6 Au 2.55-2.56
Au1 0.9995 0.2500 0.5793  2 Si 2.56
Au2 0.0005 0.7500 0.4207  2 Si 2.56
Au3 0.2499 0.0468 0.7500  2 Si 2.55-2.56
Au4 0.2499 0.4532 0.7500  2 Si 2.55-2.56
Au5 0.2501 0.5468 0.2500  2 Si 2.55-2.56
Au6 0.2501 0.9532 0.2500  2 Si 2.55-2.56
Au7 0.4995 0.2500 0.9207  2 Si 2.56
Au8 0.5005 0.7500 0.0793  2 Si 2.56
Au9 0.7499 0.0468 0.7500  2 Si 2.55-2.56
Au10 0.7499 0.4532 0.7500  2 Si 2.55-2.56
Au11 0.7501 0.5468 0.2500  2 Si 2.55-2.56
Au12 0.7501 0.9532 0.2500  2 Si 2.55-2.56

Values from the calculation:
- formation energy (no corrections) (meV/atom) = -193
- magnetic moment (μB per cell) = 0.00

=====

10.
Below is a relaxed structure of Cs2SiAu2, with properties calculated at the PBE level.

a = 7.2397 Å, b = 7.2397 Å, c = 6.1496 Å
α = 90.00°, β = 90.00°, γ = 90.00°
Last column: nearest neighbours and their distance in Å.
Sites, in units of the cell vectors:
Cs1 0.1689 0.3311 0.0000  2 Au 3.33, 1 Cs 3.46
Cs2 0.3311 0.8311 0.0000  2 Au 3.33, 1 Cs 3.46
Cs3 0.6689 0.1689 0.0000  2 Au 3.33, 1 Cs 3.46
Cs4 0.8311 0.6689 0.0000  2 Au 3.33, 1 Cs 3.46
Si1 0.0000 0.0000 0.5000  4 Au 2.60
Si2 0.5000 0.5000 0.5000  4 Au 2.60
Au1 0.2052 0.7052 0.5000  2 Si 2.60
Au2 0.2948 0.2052 0.5000  2 Si 2.60
Au3 0.7052 0.7948 0.5000  2 Si 2.60
Au4 0.7948 0.2948 0.5000  2 Si 2.60

Values from the calculation:
- formation energy (no corrections) (meV/atom) = 16
- magnetic moment (μB per cell) = 0.00

=====

11.
Below is a relaxed structure of CsSiAu3, with properties calculated at the PBE level.

a = 8.1658 Å, b = 7.4833 Å, c = 9.4970 Å
α = 90.00°, β = 90.00°, γ = 90.00°
Last column: nearest neighbours and their distance in Å.
Sites, in units of the cell vectors:
Cs1 0.0000 0.0000 0.0000  8 Au 3.55-3.73, 2 Cs 3.74
Cs2 0.0000 0.5000 0.0000  8 Au 3.55-3.73, 2 Cs 3.74
Cs3 0.5000 0.0000 0.5000  8 Au 3.55-3.73, 2 Cs 3.74
Cs4 0.5000 0.5000 0.5000  8 Au 3.55-3.73, 2 Cs 3.74
Si1 0.0385 0.2500 0.3967  6 Au 2.42-2.59
Si2 0.4615 0.7500 0.8967  6 Au 2.42-2.59
Si3 0.5385 0.2500 0.1033  6 Au 2.42-2.59
Si4 0.9615 0.7500 0.6033  6 Au 2.42-2.59
Au1 0.0917 0.0653 0.6188  2 Si 2.56-2.59, 2 Au 2.76-2.85
Au2 0.0917 0.4347 0.6188  2 Si 2.56-2.59, 2 Au 2.76-2.85
Au3 0.2282 0.7500 0.7399  2 Si 2.42-2.53
Au4 0.2718 0.2500 0.2399  2 Si 2.42-2.53
Au5 0.4083 0.5653 0.1188  2 Si 2.56-2.59, 2 Au 2.76-2.85
Au6 0.4083 0.9347 0.1188  2 Si 2.56-2.59, 2 Au 2.76-2.85
Au7 0.5917 0.0653 0.8812  2 Si 2.56-2.59, 2 Au 2.76-2.85
Au8 0.5917 0.4347 0.8812  2 Si 2.56-2.59, 2 Au 2.76-2.85
Au9 0.7282 0.7500 0.7601  2 Si 2.42-2.53
Au10 0.7718 0.2500 0.2601  2 Si 2.42-2.53
Au11 0.9083 0.5653 0.3812  2 Si 2.56-2.59, 2 Au 2.76-2.85
Au12 0.9083 0.9347 0.3812  2 Si 2.56-2.59, 2 Au 2.76-2.85

Values from the calculation:
- formation energy (no corrections) (meV/atom) = -182
- magnetic moment (μB per cell) = 0.00

=====

12.
Below is a relaxed structure of Cs2Si2Au, with properties calculated at the PBE level.

a = 3.6802 Å, b = 3.6802 Å, c = 23.0786 Å
α = 90.00°, β = 90.00°, γ = 90.00°
Last column: nearest neighbours and their distance in Å.
Sites, in units of the cell vectors:
Cs1 0.0000 0.0000 0.1058  4 Au 3.57, 4 Cs 3.68, 4 Si 3.80
Cs2 0.0000 0.0000 0.8942  4 Au 3.57, 4 Cs 3.68, 4 Si 3.80
Cs3 0.5000 0.5000 0.3942  4 Au 3.57, 4 Cs 3.68, 4 Si 3.80
Cs4 0.5000 0.5000 0.6058  4 Au 3.57, 4 Cs 3.68, 4 Si 3.80
Si1 0.0000 0.5000 0.2500  4 Si 2.60
Si2 0.0000 0.5000 0.7500  4 Si 2.60
Si3 0.5000 0.0000 0.2500  4 Si 2.60
Si4 0.5000 0.0000 0.7500  4 Si 2.60
Au1 0.0000 0.0000 0.5000  8 Cs 3.57, 4 Au 3.68
Au2 0.5000 0.5000 0.0000  8 Cs 3.57, 4 Au 3.68

Values from the calculation:
- formation energy (no corrections) (meV/atom) = 159
- magnetic moment (μB per cell) = 0.00